ZnCr2: optimized geometry, GGA-PBE.

Properties
energy of formation	1021	meV per atom
spin magnetization	8.08	μB/cell
total DFT energy (no corrections)	-5.819	eV per atom

```
data_ZnCr2
_cell_length_a 4.324
_cell_length_b 4.324
_cell_length_c 2.996
_cell_angle_alpha 90.00
_cell_angle_beta 90.00
_cell_angle_gamma 90.00
_space_group_name_H-M_alt 'P 4/m m m'
_space_group_IT_number 123
_space_group_name_Hall '-P 4 2'
loop_
_atom_site_label
_atom_site_type_symbol
_atom_site_fract_x
_atom_site_fract_y
_atom_site_fract_z
Zn1 Zn 0.000 0.000 0.000
Cr1 Cr 0.000 0.500 0.500
```